1.
# GGA-PBE TlGaHgPb, optimized geometry
# Fermi-level density of states, states/eV per atom: 0.51
# Relative energy among the computed polymorphs, meV/atom: 0
# DFT formation energy, meV per atom: 49
# DFT total energy, eV per cell: -36.8
data_TlGaHgPb
_chemical_formula_sum 'Tl4 Ga4 Hg4 Pb4'
_cell_length_a 7.5658
_cell_length_b 7.5658
_cell_length_c 7.5658
_cell_angle_alpha 90.00
_cell_angle_beta 90.00
_cell_angle_gamma 90.00
_symmetry_space_group_name_H-M 'F -4 3 m'
_symmetry_Int_Tables_number 216
_symmetry_space_group_name_Hall 'F -4 2 3'
loop_
_atom_site_label
_atom_site_fract_x
_atom_site_fract_y
_atom_site_fract_z
_atom_site_occupancy
Tl1 0.0000 0.0000 0.0000 1
Ga1 0.2500 0.2500 0.7500 1
Hg1 0.2500 0.2500 0.2500 1
Pb1 0.0000 0.0000 0.5000 1


2.
# GGA-PBE NaYV3, optimized geometry
# Fermi-level density of states, states/eV per atom: 1.60
# Relative energy among the computed polymorphs, meV/atom: 0
# DFT formation energy, meV per atom: 1692
# DFT total energy, eV per cell: -26.7
data_NaYV3
_chemical_formula_sum 'Na1 Y1 V3'
_cell_length_a 4.9460
_cell_length_b 4.9460
_cell_length_c 4.9460
_cell_angle_alpha 90.00
_cell_angle_beta 90.00
_cell_angle_gamma 90.00
_symmetry_space_group_name_H-M 'P m -3 m'
_symmetry_Int_Tables_number 221
_symmetry_space_group_name_Hall '-P 4 2 3'
loop_
_atom_site_label
_atom_site_fract_x
_atom_site_fract_y
_atom_site_fract_z
_atom_site_occupancy
Na1 0.0000 0.0000 0.0000 1
Y1 0.5000 0.5000 0.5000 1
V1 0.0000 0.0000 0.5000 1


3.
# GGA-PBE Ac2CoGe, optimized geometry
# Fermi-level density of states, states/eV per atom: 1.23
# DFT formation energy, meV per atom: -259
# DFT total energy, eV per cell: -42.0
data_Ac2CoGe
_chemical_formula_sum 'Ac4 Co2 Ge2'
_cell_length_a 7.3433
_cell_length_b 4.2350
_cell_length_c 8.0483
_cell_angle_alpha 90.00
_cell_angle_beta 90.14
_cell_angle_gamma 90.00
_symmetry_space_group_name_H-M 'C 1 m 1'
_symmetry_Int_Tables_number 8
loop_
_symmetry_equiv_pos_as_xyz
'x,y,z'
'x,-y,z'
'x+1/2,y+1/2,z'
'x+1/2,-y+1/2,z'
loop_
_atom_site_label
_atom_site_fract_x
_atom_site_fract_y
_atom_site_fract_z
_atom_site_occupancy
Ac1 0.0000 0.0000 0.0000 1
Ac2 0.1677 0.5000 0.5337 1
Co1 0.0009 0.0000 0.3298 1
Ge1 0.3338 0.0000 0.2655 1


4.
# GGA-PBE Ac2PmPb, optimized geometry
# Fermi-level density of states, states/eV per atom: 1.59
# Relative energy among the computed polymorphs, meV/atom: 361
# DFT formation energy, meV per atom: 103
# DFT total energy, eV per cell: -48.8
data_Ac2PmPb
_chemical_formula_sum 'Ac6 Pm3 Pb3'
_cell_length_a 3.7322
_cell_length_b 3.7322
_cell_length_c 38.5892
_cell_angle_alpha 90.00
_cell_angle_beta 90.00
_cell_angle_gamma 120.00
_symmetry_space_group_name_H-M 'R -3 m'
_symmetry_Int_Tables_number 166
_symmetry_space_group_name_Hall '-R 3 2"'
loop_
_atom_site_label
_atom_site_fract_x
_atom_site_fract_y
_atom_site_fract_z
_atom_site_occupancy
Ac1 0.0000 0.0000 0.0920 1
Pm1 0.0000 0.0000 0.0000 1
Pb1 0.0000 0.0000 0.5000 1


5.
# GGA-PBE Tb2CeEr3As6, optimized geometry
# Fermi-level density of states, states/eV per atom: 0.48
# DFT formation energy, meV per atom: -1513
# DFT total energy, eV per cell: -149.9
data_Tb2CeEr3As6
_chemical_formula_sum 'Tb4 Ce2 Er6 As12'
_cell_length_a 17.9485
_cell_length_b 4.1272
_cell_length_c 8.2448
_cell_angle_alpha 90.00
_cell_angle_beta 103.22
_cell_angle_gamma 90.00
_symmetry_space_group_name_H-M 'C 1 2/m 1'
_symmetry_Int_Tables_number 12
loop_
_symmetry_equiv_pos_as_xyz
'x,y,z'
'-x,-y,-z'
'-x,y,-z'
'x,-y,z'
'x+1/2,y+1/2,z'
'-x+1/2,-y+1/2,-z'
'-x+1/2,y+1/2,-z'
'x+1/2,-y+1/2,z'
loop_
_atom_site_label
_atom_site_fract_x
_atom_site_fract_y
_atom_site_fract_z
_atom_site_occupancy
Tb1 0.1679 0.0000 0.3357 1
Ce1 0.0000 0.5000 0.0000 1
Er1 0.0000 0.5000 0.5000 1
Er2 0.1672 0.0000 0.8320 1
As1 0.0006 0.0000 0.7464 1
As2 0.1657 0.5000 0.5854 1
As3 0.1676 0.5000 0.0813 1


6.
# GGA-PBE LiHo6Co2, optimized geometry
# Fermi-level density of states, states/eV per atom: 1.03
# DFT formation energy, meV per atom: -128
# DFT total energy, eV per cell: -179.0
data_LiHo6Co2
_chemical_formula_sum 'Li4 Ho24 Co8'
_cell_length_a 9.2825
_cell_length_b 9.5622
_cell_length_c 9.8635
_cell_angle_alpha 90.00
_cell_angle_beta 90.00
_cell_angle_gamma 90.00
_symmetry_space_group_name_H-M 'I m m m'
_symmetry_Int_Tables_number 71
_symmetry_space_group_name_Hall '-I 2 2'
loop_
_atom_site_label
_atom_site_fract_x
_atom_site_fract_y
_atom_site_fract_z
_atom_site_occupancy
Li1 0.0000 0.0000 0.0000 1
Li2 0.0000 0.0000 0.5000 1
Ho1 0.0000 0.1999 0.2331 1
Ho2 0.1848 0.5000 0.1792 1
Ho3 0.2185 0.3193 0.5000 1
Co1 0.0000 0.3326 0.0000 1
Co2 0.0000 0.5000 0.3855 1


7.
# GGA-PBE RbB2N, optimized geometry
# Formation energy without anion corrections, eV/atom: 1.51
# Fermi-level density of states, states/eV per atom: 0.21
# DFT total energy, eV per cell: -66.4
data_RbB2N
_chemical_formula_sum 'Rb4 B8 N4'
_cell_length_a 5.4074
_cell_length_b 5.4074
_cell_length_c 7.4567
_cell_angle_alpha 90.00
_cell_angle_beta 90.00
_cell_angle_gamma 90.00
_symmetry_space_group_name_H-M 'I -4 2 d'
_symmetry_Int_Tables_number 122
_symmetry_space_group_name_Hall 'I -4 2bw'
loop_
_atom_site_label
_atom_site_fract_x
_atom_site_fract_y
_atom_site_fract_z
_atom_site_occupancy
Rb1 0.0000 0.0000 0.0000 1
B1 0.0480 0.2500 0.6250 1
N1 0.0000 0.0000 0.5000 1


8.
# GGA-PBE PaAlRh, optimized geometry
# Fermi-level density of states, states/eV per atom: 1.26
# DFT formation energy, meV per atom: -620
# DFT total energy, eV per cell: -22.5
data_PaAlRh
_chemical_formula_sum 'Pa1 Al1 Rh1'
_cell_length_a 4.5369
_cell_length_b 4.5369
_cell_length_c 3.2053
_cell_angle_alpha 90.00
_cell_angle_beta 90.00
_cell_angle_gamma 120.00
_symmetry_space_group_name_H-M 'P -6 m 2'
_symmetry_Int_Tables_number 187
_symmetry_space_group_name_Hall 'P -6 2'
loop_
_atom_site_label
_atom_site_fract_x
_atom_site_fract_y
_atom_site_fract_z
_atom_site_occupancy
Pa1 0.0000 0.0000 0.0000 1
Al1 0.6667 0.3333 0.5000 1
Rh1 0.3333 0.6667 0.5000 1


9.
# GGA-PBE Er2ThRu2, optimized geometry
# Fermi-level density of states, states/eV per atom: 0.65
# Relative energy among the computed polymorphs, meV/atom: 0
# DFT formation energy, meV per atom: -411
# DFT total energy, eV per cell: -37.2
data_Er2ThRu2
_chemical_formula_sum 'Er2 Th1 Ru2'
_cell_length_a 4.7062
_cell_length_b 4.7062
_cell_length_c 6.1912
_cell_angle_alpha 90.00
_cell_angle_beta 90.00
_cell_angle_gamma 120.00
_symmetry_space_group_name_H-M 'P -3 m 1'
_symmetry_Int_Tables_number 164
_symmetry_space_group_name_Hall '-P 3 2"'
loop_
_atom_site_label
_atom_site_fract_x
_atom_site_fract_y
_atom_site_fract_z
_atom_site_occupancy
Er1 0.3333 0.6667 0.1531 1
Th1 0.0000 0.0000 0.5000 1
Ru1 0.3333 0.6667 0.6532 1